Record 1
First-principles (PBE) data for crystalline RbLiGaI3 at its relaxed geometry, as listed in Alexandria.

Structure (extended XYZ):
```
12
Lattice="4.7635 0.0000 0.0000 0.0000 10.2679 0.8001 0.0000 -3.1144 10.3769" Properties=species:S:1:pos:R:3 pbc="T T T"
Rb 3.5726 6.0049 8.8235
Rb 1.1909 1.1486 2.3535
Li 1.1909 -0.9224 6.3267
Li 3.5726 8.0759 4.8503
Ga 1.1909 6.2336 1.9793
Ga 3.5726 0.9199 9.1977
I 1.1909 6.8684 5.7748
I 3.5726 8.6615 2.1891
I 3.5726 3.9411 1.9199
I 3.5726 0.2851 5.4022
I 1.1909 3.2124 9.2570
I 1.1909 -1.5079 8.9879
```

## Properties
Its volume is 43.3 A^3/atom. The uncorrected formation energy is -97.0 kJ per mole of atoms. The density of states at the Fermi level is 0.00 states/eV per cell. For the magnetization, the calculation gives 0.000 Bohr magnetons per cell.

---

Record 2
First-principles (PBE) data for crystalline RbLiGa2I8 at its relaxed geometry, as listed in Alexandria.

Structure (extended XYZ):
```
12
Lattice="-2.4254 -2.7984 -6.3995 4.8071 -2.8110 -4.8639 -0.1966 -11.4988 0.8315" Properties=species:S:1:pos:R:3 pbc="T T T"
Rb 1.0926 -8.5541 -5.2159
Li 0.0000 0.0000 0.0000
Ga 0.5524 -4.2177 -2.6362
Ga 1.6327 -12.8906 -7.7956
I 0.3134 -6.5413 -1.5296
I -0.1783 -4.4548 -5.1205
I 1.8718 -10.5670 -8.9023
I 0.6229 -6.3117 -8.8463
I 1.5622 -10.7966 -1.5856
I 3.8115 -5.3846 -6.2110
I -1.6263 -11.7237 -4.2209
I 2.3634 -12.6535 -5.3114
```

## Properties
Its volume is 42.3 A^3/atom. The uncorrected formation energy is -75.6 kJ per mole of atoms. The density of states at the Fermi level is 0.00 states/eV per cell. For the magnetization, the calculation gives 0.000 Bohr magnetons per cell.

---

Record 3
First-principles (PBE) data for crystalline Rb2LiGaI6 at its relaxed geometry, as listed in Alexandria.

Structure (extended XYZ):
```
10
Lattice="-1.0161 -2.1374 -7.9021 -7.5761 -2.7706 1.7236 -6.4923 2.8370 -4.2380" Properties=species:S:1:pos:R:3 pbc="T T T"
I -5.4294 0.2764 -3.6820
I -9.6551 -2.3473 -6.7345
I -2.0874 -1.1924 -1.5010
I -6.5048 -3.7156 -4.6775
I -2.6098 -2.2912 -5.5636
I -5.9824 -2.6167 -0.6149
Ga 0.0000 0.0000 0.0000
Rb -5.9023 -0.8771 -7.6147
Rb -9.1823 -1.1937 -2.8018
Li -4.2961 -2.4540 -3.0893
```

## Properties
Its volume is 39.8 A^3/atom. The uncorrected formation energy is -89.9 kJ per mole of atoms. The density of states at the Fermi level is 0.34 states/eV per cell. For the magnetization, the calculation gives 0.000 Bohr magnetons per cell.

---

Record 4
First-principles (PBE) data for crystalline LiGaSb2I at its relaxed geometry, as listed in Alexandria.

Structure (extended XYZ):
```
5
Lattice="-1.6690 3.1055 -3.9222 1.9428 -3.4079 -3.5250 -5.5880 -3.1035 -0.0794" Properties=species:S:1:pos:R:3 pbc="T T T"
I -2.7940 -1.5518 -0.0397
Sb 0.9714 -1.7039 -1.7625
Sb -0.8345 1.5528 -1.9611
Ga 0.0000 0.0000 0.0000
Li -2.6571 -1.7029 -3.7633
```

## Properties
Its volume is 35.6 A^3/atom. The offset from the most stable computed form is 0.000 eV per atom. The uncorrected formation energy is 22.0 kJ per mole of atoms. The density of states at the Fermi level is 3.41 states/eV per cell. For the magnetization, the calculation gives 0.000 Bohr magnetons per cell.

---

Record 5
First-principles (PBE) data for crystalline Li2ScGaI at its relaxed geometry, as listed in Alexandria.

Structure (extended XYZ):
```
5
Lattice="4.8469 0.0000 0.0000 0.0000 6.1897 0.0000 0.0000 0.0000 4.8469" Properties=species:S:1:pos:R:3 pbc="T T T"
I 0.0000 0.0000 0.0000
Sc 2.4235 3.0948 2.4235
Ga 0.0000 3.0948 0.0000
Li 0.0000 0.0000 2.4235
Li 2.4235 0.0000 0.0000
```

## Properties
Its volume is 29.1 A^3/atom. The offset from the most stable computed form is 0.342 eV per atom. The uncorrected formation energy is 20.6 kJ per mole of atoms. The density of states at the Fermi level is 4.01 states/eV per cell. For the magnetization, the calculation gives 0.647 Bohr magnetons per cell.

---

Record 6
First-principles (PBE) data for crystalline Li2ScGaI at its relaxed geometry, as listed in Alexandria.

Structure (extended XYZ):
```
5
Lattice="5.0033 0.0000 0.0000 0.0000 5.1874 0.0000 0.0000 0.0000 5.0033" Properties=species:S:1:pos:R:3 pbc="T T T"
I 2.5016 2.5937 2.5016
Sc 0.0000 2.5937 0.0000
Ga 0.0000 0.0000 0.0000
Li 0.0000 0.0000 2.5016
Li 2.5016 0.0000 0.0000
```

## Properties
Its volume is 26.0 A^3/atom. The offset from the most stable computed form is 0.000 eV per atom. The uncorrected formation energy is -12.4 kJ per mole of atoms. The density of states at the Fermi level is 2.65 states/eV per cell. For the magnetization, the calculation gives 0.000 Bohr magnetons per cell.

---

Record 7
First-principles (PBE) data for crystalline Li2SmGaI6 at its relaxed geometry, as listed in Alexandria.

Structure (extended XYZ):
```
10
Lattice="7.7669 0.0004 0.0004 3.8838 6.7260 -0.0001 3.8835 2.2421 7.1355" Properties=species:S:1:pos:R:3 pbc="T T T"
Li 7.7681 4.4851 3.3971
Li 3.8833 2.2434 7.0203
Sm 3.8837 2.2416 0.2007
Ga 11.6501 6.7259 3.9058
I 6.5748 2.2177 1.7334
I 6.4001 6.6496 1.7330
I 10.3261 4.5851 1.7333
I 8.7331 6.6778 5.3547
I 9.1842 2.5504 5.3547
I 5.3841 4.2238 5.3547
```

## Properties
Its volume is 37.3 A^3/atom. The uncorrected formation energy is -104.5 kJ per mole of atoms. The density of states at the Fermi level is 0.00 states/eV per cell. For the magnetization, the calculation gives 0.000 Bohr magnetons per cell.

---

Record 8
First-principles (PBE) data for crystalline LiGa2SnI5 at its relaxed geometry, as listed in Alexandria.

Structure (extended XYZ):
```
18
Lattice="4.5299 0.0000 0.0000 -2.2650 9.9919 0.0000 0.0000 0.0000 14.9790" Properties=species:S:1:pos:R:3 pbc="T T T"
Li 2.2650 1.2064 13.8823
Li 0.0000 8.7855 6.3928
Ga 2.2650 7.4754 12.3311
Ga 0.0000 1.5431 9.7769
Ga 0.0000 2.5165 4.8416
Ga 2.2650 8.4488 2.2874
Sn 2.2650 5.7317 8.0809
Sn 0.0000 4.2602 0.5914
I 0.0000 7.3512 14.9783
I 2.2650 3.9672 13.3401
I 0.0000 9.8657 11.5123
I 0.0000 5.6743 10.3510
I 2.2650 9.0134 7.9633
I 2.2650 2.6407 7.4888
I 0.0000 6.0247 5.8506
I 2.2650 0.1262 4.0228
I 2.2650 4.3176 2.8615
I 0.0000 0.9785 0.4738
```

## Properties
Its volume is 37.7 A^3/atom. The uncorrected formation energy is -54.8 kJ per mole of atoms. The density of states at the Fermi level is 0.00 states/eV per cell. For the magnetization, the calculation gives 0.000 Bohr magnetons per cell.

---

Record 9
First-principles (PBE) data for crystalline LiTl2GaI5 at its relaxed geometry, as listed in Alexandria.

Structure (extended XYZ):
```
18
Lattice="-1.4285 -4.8065 -0.4062 9.6475 0.0977 -3.9330 5.2621 -2.6493 12.8419" Properties=species:S:1:pos:R:3 pbc="T T T"
Li 7.3481 -5.2032 4.5740
Li 4.1018 -1.1322 -1.0283
Tl 10.2588 -6.3132 7.4715
Tl 5.9797 -2.4269 7.6864
Tl 4.1154 -1.4945 3.2107
Tl 6.8100 -4.5831 -0.8710
Ga 5.4071 -5.1915 11.2617
Ga 10.0306 -3.1516 2.0157
I 6.2475 -1.6257 -2.7349
I 7.1882 -5.5469 9.2023
I 12.9000 -4.3286 5.8518
I 8.8432 -3.1324 5.9642
I 9.9531 -5.8202 2.7133
I 4.7112 -4.4624 5.0817
I 7.3988 -2.3680 1.9994
I 0.8331 -3.1563 3.2659
I 3.6735 -3.7401 0.1849
I 1.0460 -0.2882 -0.2679
```

## Properties
Its volume is 39.9 A^3/atom. The uncorrected formation energy is -63.9 kJ per mole of atoms. The density of states at the Fermi level is 2.74 states/eV per cell. For the magnetization, the calculation gives 0.000 Bohr magnetons per cell.

---

Record 10
First-principles (PBE) data for crystalline Li2Tl3GaI6 at its relaxed geometry, as listed in Alexandria.

Structure (extended XYZ):
```
12
Lattice="-0.3008 -1.4552 4.4188 6.4136 -6.9111 -1.8395 5.6639 8.9052 0.8590" Properties=species:S:1:pos:R:3 pbc="T T T"
Li 7.6763 0.0984 3.0142
Li 4.1004 0.4404 0.4241
Tl 3.0564 -4.1832 1.2897
Tl 4.6417 3.6131 3.9651
Tl 7.1351 -3.0743 -0.5268
Ga -0.1504 -0.7276 2.2094
I 9.3792 -0.6907 0.4110
I 5.4087 -1.7042 2.2662
I 2.3975 1.2295 3.0274
I 1.7933 -1.4078 -0.3415
I 9.9835 1.9466 3.7799
I 6.3681 2.2431 1.1722
```

## Properties
Its volume is 37.1 A^3/atom. The uncorrected formation energy is -73.2 kJ per mole of atoms. The density of states at the Fermi level is 0.00 states/eV per cell. For the magnetization, the calculation gives 0.000 Bohr magnetons per cell.